(1)
This record from Alexandria via LeMat-Bulk describes a relaxed structure of Ca6In2Ag. The functional is PBE.

Calculated values
As for the formation enthalpy at 0 K: -3.0 eV/f.u. Its space group is Pnnm (58).

abc: 5.4044 10.2543 10.2627
angles: 90.00 90.00 90.00
Last column: nearest neighbours and their distance in Å.
Fractional positions:
Ca (0.5000, 0.5339, 0.3039)  1 Ag 3.14, 3 In 3.32-3.39
Ca (0.0000, 0.0339, 0.1961)  1 Ag 3.14, 3 In 3.32-3.39
Ca (0.9999, 0.6957, 0.5350)  1 Ag 3.14, 3 In 3.32-3.39
Ag (0.0000, 0.0000, 0.5000)  8 Ca 3.14-3.20
Ca (0.0001, 0.3043, 0.4650)  1 Ag 3.14, 3 In 3.32-3.39
Ca (0.5001, 0.1191, 0.6179)  2 Ag 3.20, 1 Ca 3.44, 2 In 3.51-3.52
Ca (0.4999, 0.8809, 0.3821)  2 Ag 3.20, 1 Ca 3.44, 2 In 3.51-3.52
Ca (0.5000, 0.4661, 0.6961)  1 Ag 3.14, 3 In 3.32-3.39
Ca (0.5001, 0.1957, 0.9650)  1 Ag 3.14, 3 In 3.32-3.39
Ag (0.5000, 0.5000, 0.0000)  8 Ca 3.14-3.20
In (0.5000, 0.2109, 0.2880)  10 Ca 3.32-3.66
Ca (0.0000, 0.9661, 0.8039)  1 Ag 3.14, 3 In 3.32-3.39
Ca (0.4999, 0.8043, 0.0350)  1 Ag 3.14, 3 In 3.32-3.39
Ca (0.9999, 0.6191, 0.8821)  2 Ag 3.20, 1 Ca 3.44, 2 In 3.51-3.52
In (0.0000, 0.2891, 0.7880)  10 Ca 3.32-3.66
Ca (0.0001, 0.3809, 0.1179)  2 Ag 3.20, 1 Ca 3.44, 2 In 3.51-3.52
In (0.5000, 0.7891, 0.7120)  10 Ca 3.32-3.66
In (0.0000, 0.7109, 0.2120)  10 Ca 3.32-3.66

(2)
This record from Alexandria via LeMat-Bulk describes a relaxed structure of Rb4Cu3F12. The functional is PBE.

Calculated values
The value obtained for the energy relative to the elements, uncorrected is -39.33 eV/f.u. Its space group is Im-3 (204).

abc: 8.1870 8.1870 8.1870
angles: 109.47 109.47 109.47
Last column: nearest neighbours and their distance in Å.
Fractional positions:
F (0.8643, 0.6359, 0.5002)  1 Cu 1.82
F (0.1357, 0.6359, 0.7716)  1 Cu 1.82
Cu (0.5000, 0.5000, 0.0000)  4 F 1.82
F (0.3641, 0.4998, 0.1357)  1 Cu 1.82
F (0.8643, 0.3641, 0.2284)  1 Cu 1.82
F (0.4998, 0.1357, 0.3641)  1 Cu 1.82
F (0.1357, 0.3641, 0.4998)  1 Cu 1.82
F (0.3641, 0.2284, 0.8643)  1 Cu 1.82
F (0.5002, 0.8643, 0.6359)  1 Cu 1.82
F (0.2284, 0.8643, 0.3641)  1 Cu 1.82
F (0.7716, 0.1357, 0.6359)  1 Cu 1.82
Rb (0.0000, 0.5000, 0.0000)  6 F 2.81
Rb (0.0000, 0.0000, 0.5000)  6 F 2.81
Rb (0.5000, 0.5000, 0.5000)  6 F 2.81
Cu (0.5000, 0.0000, 0.5000)  4 F 1.82
Cu (0.0000, 0.5000, 0.5000)  4 F 1.82
F (0.6359, 0.5002, 0.8643)  1 Cu 1.82
Rb (0.5000, 0.0000, 0.0000)  6 F 2.81
F (0.6359, 0.7716, 0.1357)  1 Cu 1.82

(3)
This record from Alexandria via LeMat-Bulk describes a relaxed structure of GaFePt6. The functional is PBE.

Calculated values
As for the formation enthalpy at 0 K: -2.6 eV/f.u. Its space group is P4/mmm (123).

abc: 3.9288 3.9288 7.8723
angles: 90.00 90.00 90.00
Last column: nearest neighbours and their distance in Å.
Fractional positions:
Pt (0.5000, 0.5000, 0.5000)  8 Pt 2.76, 4 Fe 2.78
Pt (0.0000, 0.5000, 0.7455)  2 Fe 2.76, 8 Pt 2.76-2.81, 2 Ga 2.81
Pt (0.5000, 0.0000, 0.2545)  8 Pt 2.76-2.81, 2 Fe 2.76, 2 Ga 2.81
Ga (0.0000, 0.0000, 0.0000)  12 Pt 2.78-2.81
Pt (0.5000, 0.0000, 0.7455)  2 Fe 2.76, 8 Pt 2.76-2.81, 2 Ga 2.81
Pt (0.0000, 0.5000, 0.2545)  2 Fe 2.76, 8 Pt 2.76-2.81, 2 Ga 2.81
Pt (0.5000, 0.5000, 0.0000)  4 Ga 2.78, 8 Pt 2.81
Fe (0.0000, 0.0000, 0.5000)  12 Pt 2.76-2.78

(4)
This record from Alexandria via LeMat-Bulk describes a relaxed structure of AcEr2Al. The functional is PBE.

Calculated values
As for the formation enthalpy at 0 K: 0.1 eV/f.u. Its space group is R3m (160).

abc: 5.0678 5.0678 6.5902
angles: 67.39 67.39 60.00
Last column: nearest neighbours and their distance in Å.
Fractional positions:
Ac (0.4911, 0.4911, 0.5267)  4 Al 3.47-3.80, 7 Er 3.58-3.74
Al (0.6873, 0.6873, 0.9382)  6 Er 2.95-3.21
Er (0.2801, 0.2801, 0.1598)  3 Al 3.21, 3 Er 3.37
Er (0.0415, 0.0415, 0.8754)  3 Al 2.95

(5)
This record from Alexandria via LeMat-Bulk describes a relaxed structure of Ti2Si2Hg. The functional is PBE.

Calculated values
The value obtained for the energy relative to the elements, uncorrected is -1.01 eV/f.u. Its space group is I4/mmm (139).

abc: 3.4483 3.4483 7.6669
angles: 77.00 77.00 90.00
Last column: nearest neighbours and their distance in Å.
Fractional positions:
Si (0.2500, 0.7500, 0.5000)  4 Si 2.44, 4 Ti 2.63
Ti (0.3867, 0.3867, 0.2266)  4 Si 2.63, 4 Hg 2.94
Si (0.7500, 0.2500, 0.5000)  4 Si 2.44, 4 Ti 2.63
Hg (0.0000, 0.0000, 0.0000)  8 Ti 2.94
Ti (0.6133, 0.6133, 0.7734)  4 Si 2.63, 4 Hg 2.94

(6)
This record from Alexandria via LeMat-Bulk describes a relaxed structure of K2InSb. The functional is PBE.

Calculated values
The value obtained for the energy relative to the elements, uncorrected is -0.49 eV/f.u. Its space group is P4/mmm (123).

abc: 3.4685 3.4685 11.3334
angles: 90.00 90.00 90.00
Last column: nearest neighbours and their distance in Å.
Fractional positions:
K (0.0000, 0.0000, 0.0205)  4 K 3.47, 4 Sb 3.57
In (0.5000, 0.5000, 0.7500)  4 In 3.47
Sb (0.5000, 0.5000, 0.2500)  4 Sb 3.47, 8 K 3.57
K (0.0000, 0.0000, 0.4795)  4 K 3.47, 4 Sb 3.57

(7)
This record from Alexandria via LeMat-Bulk describes a relaxed structure of Pu2NiPb. The functional is PBE.

Calculated values
As for the formation enthalpy at 0 K: -0.4 eV/f.u. Its space group is P4/mmm (123).

abc: 3.4044 3.4044 8.1066
angles: 90.00 90.00 90.00
Last column: nearest neighbours and their distance in Å.
Fractional positions:
Pu (0.0000, 0.0000, 0.2013)  4 Ni 2.91
Pb (0.5000, 0.5000, 0.5000)  4 Pb 3.40, 8 Pu 3.41
Ni (0.5000, 0.5000, 0.0000)  8 Pu 2.91
Pu (0.0000, 0.0000, 0.7987)  4 Ni 2.91

(8)
This record from Alexandria via LeMat-Bulk describes a relaxed structure of Ba2HfAlO6. The functional is PBE.

Calculated values
The value obtained for the energy relative to the elements, uncorrected is -27.46 eV/f.u. Its space group is P-3m1 (164).

abc: 5.2471 5.9285 5.9285
angles: 120.00 90.00 90.00
Last column: nearest neighbours and their distance in Å.
Fractional positions:
O (0.7725, 0.1485, 0.2970)  1 Al 1.94, 1 Hf 2.09
O (0.7725, 0.7030, 0.8515)  1 Al 1.94, 1 Hf 2.09
Ba (0.8277, 0.6667, 0.3333)  9 O 2.83-2.98
O (0.7725, 0.1485, 0.8515)  1 Al 1.94, 1 Hf 2.09
O (0.2275, 0.8515, 0.1485)  1 Al 1.94, 1 Hf 2.09
O (0.2275, 0.2970, 0.1485)  1 Al 1.94, 1 Hf 2.09
Ba (0.1723, 0.3333, 0.6667)  9 O 2.83-2.98
Al (0.0000, 0.0000, 0.0000)  6 O 1.94
Hf (0.5000, 0.0000, 0.0000)  6 O 2.09
O (0.2275, 0.8515, 0.7030)  1 Al 1.94, 1 Hf 2.09

(9)
This record from Alexandria via LeMat-Bulk describes a relaxed structure of CaLaPb3. The functional is PBE.

Calculated values
As for the formation enthalpy at 0 K: 0.9 eV/f.u. Its space group is Pm-3m (221).

abc: 5.7007 5.7007 5.7007
angles: 90.00 90.00 90.00
Last column: nearest neighbours and their distance in Å.
Fractional positions:
Pb (0.5000, 0.0000, 0.0000)  2 Ca 2.85
Ca (0.0000, 0.0000, 0.0000)  6 Pb 2.85
La (0.5000, 0.5000, 0.5000)  12 Pb 4.03
Pb (0.0000, 0.5000, 0.0000)  2 Ca 2.85
Pb (0.0000, 0.0000, 0.5000)  2 Ca 2.85

(10)
This record from Alexandria via LeMat-Bulk describes a relaxed structure of Rb2Na2H4Rh. The functional is PBE.

Calculated values
Its space group is I4/mmm (139).

abc: 6.2105 6.2105 6.2105
angles: 97.84 115.58 115.58
Last column: nearest neighbours and their distance in Å.
Fractional positions:
Rh (0.0000, 0.0000, 0.0000)  4 H 1.72
H (0.0000, 0.1837, 0.8163)  1 Rh 1.72
H (0.0000, 0.8163, 0.1837)  1 Rh 1.72
H (0.3674, 0.1837, 0.1837)  1 Rh 1.72
Na (0.0000, 0.3247, 0.3247)  1 Rh 2.65, 1 Na 2.86
Rb (0.5000, 0.2500, 0.7500)  8 H 3.17, 4 Na 3.37
Rb (0.5000, 0.7500, 0.2500)  8 H 3.17, 4 Na 3.37
Na (0.0000, 0.6753, 0.6753)  1 Rh 2.65, 1 Na 2.86
H (0.6326, 0.8163, 0.8163)  1 Rh 1.72

(11)
This record from Alexandria via LeMat-Bulk describes a relaxed structure of BaCd2Ag2. The functional is PBE.

Calculated values
As for the formation enthalpy at 0 K: -1.1 eV/f.u. Its space group is I4/mmm (139).

abc: 5.1278 5.1278 6.4037
angles: 66.40 66.40 90.00
Last column: nearest neighbours and their distance in Å.
Fractional positions:
Ba (0.0000, 0.0000, 0.0000)  8 Ag 3.68, 10 Cd 3.84-3.90
Ag (0.7500, 0.2500, 0.5000)  4 Cd 2.83
Ag (0.2500, 0.7500, 0.5000)  4 Cd 2.83
Cd (0.6359, 0.6359, 0.7282)  4 Ag 2.83, 1 Cd 2.87
Cd (0.3641, 0.3641, 0.2718)  4 Ag 2.83, 1 Cd 2.87

(12)
This record from Alexandria via LeMat-Bulk describes a relaxed structure of Pu2UCr2C4. The functional is PBE.

Calculated values
As for the formation enthalpy at 0 K: -0.4 eV/f.u. Its space group is C2/m (12).

abc: 3.2224 7.1447 5.4577
angles: 112.55 90.00 103.03
Last column: nearest neighbours and their distance in Å.
Fractional positions:
Cr (0.6752, 0.3504, 0.9857)  4 C 2.01-2.19
Pu (0.1348, 0.2695, 0.4985)  7 C 2.41-2.59, 1 U 2.63
C (0.5233, 0.0467, 0.6493)  1 C 1.50
Cr (0.3248, 0.6496, 0.0143)  4 C 2.01-2.19
C (0.7675, 0.5351, 0.7813)  3 Cr 2.01
Pu (0.8652, 0.7305, 0.5015)  7 C 2.41-2.59, 1 U 2.63
U (0.0000, 0.0000, 0.0000)  4 C 2.62, 2 Pu 2.63
C (0.4767, 0.9533, 0.3507)  1 C 1.50
C (0.2325, 0.4649, 0.2187)  3 Cr 2.01

Values of total DFT energy (no corrections), in order: -46.67, -77.94, -50.36, -16.90, -27.95, -9.55, -38.52, -74.75, -17.18, -25.72, -10.58, -96.52, all in eV per cell.